No. 1
Ac2Fe3B12Os | GGA-PBE | relaxed

Values from the calculation:
Space group: R-3m
ΔE_f, kJ/mol of formula units: 205
Calculated total energy, Ry per atom: -0.5016

Cell and atoms, written as POSCAR:
```
Ac2Fe3B12Os
1.0
3.0927 1.7856 6.7774
-3.0927 1.7856 6.7774
0.0000 -3.5712 6.7774
Ac Fe B Os
2 3 12 1
Direct
0.1179 0.1179 0.1179
0.8821 0.8821 0.8821
0.0000 0.5000 0.5000
0.5000 0.0000 0.5000
0.5000 0.5000 0.0000
0.1165 0.5960 0.5960
0.1683 0.1683 0.4511
0.1683 0.4511 0.1683
0.4040 0.4040 0.8835
0.4040 0.8835 0.4040
0.4511 0.1683 0.1683
0.5489 0.8317 0.8317
0.5960 0.1165 0.5960
0.5960 0.5960 0.1165
0.8317 0.5489 0.8317
0.8317 0.8317 0.5489
0.8835 0.4040 0.4040
0.5000 0.5000 0.5000
```



No. 2
AcFeB2Os | GGA-PBE | relaxed

Values from the calculation:
Space group: I-4m2
ΔE_f, kJ/mol of formula units: -149
Calculated total energy, Ry per atom: -0.5689

Cell and atoms, written as POSCAR:
```
AcFeB2Os
1.0
-1.9275 1.9275 5.3810
1.9275 -1.9275 5.3810
1.9275 1.9275 -5.3810
Ac Fe B Os
1 1 2 1
Direct
0.0000 0.0000 0.0000
0.7500 0.2500 0.5000
0.3237 0.3237 0.0000
0.6763 0.6763 0.0000
0.2500 0.7500 0.5000
```



Q: Among the records above, which one has the highest calculated total energy?
A: Ac2Fe3B12Os